{"formula": "Gd2YAl3Cu3", "functional": "PBE-GGA", "state": "relaxed", "crystal_system": "orthorhombic", "magnetic_moment_mub_per_fu": 0.00, "total_energy_ev_per_atom": -4.68, "cell": [[-3.300, 0.508, 2.235], [-0.560, -7.005, 0.765], [3.732, 3.800, 4.648]], "species": ["Cu", "Al", "Gd", "Al", "Al", "Cu", "Y", "Gd", "Cu"], "frac_coords": [[0.000, 0.000, 0.000], [0.500, 0.235, 0.235], [0.000, 0.415, 0.000], [0.500, 0.764, 0.999], [0.500, 0.999, 0.764], [0.500, 0.666, 0.334], [0.000, 0.585, 0.585], [0.000, 0.000, 0.415], [0.500, 0.334, 0.666]]}